First-principles (PBE-GGA) data for crystalline CaFe2Ru at its relaxed geometry, as listed in Alexandria via LeMat-Bulk.

Lattice parameters (Å, degrees): 3.243 3.243 6.600 90.00 90.00 90.00
Sites, in units of the cell vectors:
Ca: 0.000 0.000 0.000
Fe: 0.500 0.500 0.326
Fe: 0.500 0.500 0.674
Ru: 0.000 0.000 0.500

- E_form: 390.3 meV per atom